TaIr, relaxed, DFT GGA-PBE; SG = P6_3/mmc (194); spin magnetization = 0.00 μB/atom; E_tot = -41.85 eV for the cell shown; crystal system = hexagonal; calculated volume = 73.28 Å³ per cell
1.0
3.606 0.000 0.000
-1.803 3.123 0.000
0.000 0.000 6.509
Ir Ta
2 2
Cartesian
0.000 2.082 1.627
1.803 1.041 4.881
0.000 0.000 0.000
0.000 0.000 3.254